Cs2TaHO4 (PBE, optimized geometry); theoretical density = 5.58 Mg/m³; total magnetic moment = 0.02 Bohr magnetons per cell; VASP energy = -6.65 eV per atom
1.0
2.860 6.308 0.000
-2.860 6.308 0.000
0.000 0.000 8.440
Cs H O Ta
4 2 8 2
direct
0.042 0.042 0.103
0.615 0.615 0.420
0.958 0.958 0.603
0.385 0.385 0.920
0.839 0.839 0.274
0.161 0.161 0.774
0.619 0.619 0.071
0.631 0.060 0.279
0.060 0.631 0.279
0.165 0.165 0.413
0.381 0.381 0.571
0.940 0.369 0.779
0.369 0.940 0.779
0.835 0.835 0.913
0.309 0.309 0.382
0.691 0.691 0.882


AgN (PBE, optimized geometry); theoretical density = 8.37 Mg/m³; VASP energy = -3.98 eV per atom
1.0
-3.132 -0.604 -0.601
-2.197 0.317 2.368
-2.136 2.442 -0.085
Ag N
1 1
direct
0.000 0.000 0.000
0.500 0.500 0.500


NpF (PBE, optimized geometry); theoretical density = 12.12 Mg/m³; total magnetic moment = 9.60 Bohr magnetons per cell; VASP energy = -8.56 eV per atom
1.0
3.848 0.000 0.000
-1.924 3.332 0.000
0.000 0.000 5.472
F Np
2 2
direct
0.333 0.667 0.250
0.667 0.333 0.750
0.000 0.000 0.000
0.000 0.000 0.500


NpCoPd (PBE, optimized geometry); theoretical density = 12.33 Mg/m³; total magnetic moment = 0.02 Bohr magnetons per cell; formation energy = 0.3848 eV/atom
1.0
0.834 2.284 3.482
-1.706 3.861 0.466
-3.039 0.643 2.896
Co Np Pd
1 1 1
direct
0.000 0.000 0.000
0.250 0.250 0.250
0.750 0.750 0.750


YCuOs2 (PBE, optimized geometry); theoretical density = 13.46 Mg/m³; total magnetic moment = 0.00 Bohr magnetons per cell; formation energy = 0.3293 eV/atom
1.0
-1.248 -2.398 3.635
-4.252 0.269 1.540
-2.806 -3.526 -0.467
Cu Os Y
1 2 1
direct
0.250 0.250 0.250
0.000 0.000 0.000
0.750 0.750 0.750
0.500 0.500 0.500


LiMgMoIr (PBE, optimized geometry); theoretical density = 9.05 Mg/m³; total magnetic moment = 0.00 Bohr magnetons per cell; VASP energy = -5.97 eV per atom
1.0
-0.836 -3.569 2.359
-2.854 0.180 3.290
-3.862 -1.991 -0.353
Ir Li Mg Mo
1 1 1 1
direct
0.000 0.000 0.000
0.500 0.500 0.500
0.750 0.750 0.750
0.250 0.250 0.250


Copy entry 4 word for word.
NpCoPd (PBE, optimized geometry); theoretical density = 12.33 Mg/m³; total magnetic moment = 0.02 Bohr magnetons per cell; formation energy = 0.3848 eV/atom
1.0
0.834 2.284 3.482
-1.706 3.861 0.466
-3.039 0.643 2.896
Co Np Pd
1 1 1
direct
0.000 0.000 0.000
0.250 0.250 0.250
0.750 0.750 0.750